Computed, not measured: a relaxed TaTiBeMo crystal at the GGA-PBE level of DFT.

Computed properties:
ΔE_f: -0.018 eV per atom
Calculated volume: 61.0 Å³ per cell

Structure (POSCAR):
```
TaTiBeMo
1.0
4.418 0.000 0.000
2.209 3.826 0.000
2.209 1.275 3.608
Ta Be Mo Ti
1 1 1 1
Direct
0.500 0.500 0.500 Ta
0.250 0.250 0.250 Be
0.750 0.750 0.750 Mo
0.000 0.000 0.000 Ti
```

=====

Computed, not measured: a relaxed TlGeTe2 crystal at the GGA-PBE level of DFT.

Computed properties:
Calculated volume: 539.2 Å³ per cell
Formation energy from raw total energies: -0.1411 eV per atom

Structure (POSCAR):
```
TlGeTe2
1.0
5.022 0.000 0.000
0.000 8.625 0.000
0.000 0.000 12.448
Te Ge Tl
8 4 4
Direct
0.250 0.927 0.210 Te
0.750 0.573 0.710 Te
0.750 0.188 0.446 Te
0.250 0.312 0.946 Te
0.250 0.427 0.290 Te
0.750 0.688 0.054 Te
0.250 0.812 0.554 Te
0.750 0.073 0.790 Te
0.750 0.952 0.597 Ge
0.250 0.548 0.097 Ge
0.750 0.452 0.903 Ge
0.250 0.048 0.403 Ge
0.750 0.688 0.337 Tl
0.750 0.188 0.163 Tl
0.250 0.312 0.663 Tl
0.250 0.812 0.837 Tl
```

=====

Computed, not measured: a relaxed SrIn12Ir6 crystal at the GGA-PBE level of DFT.

Computed properties:
ΔE_f: -0.150 eV per atom
Calculated volume: 424.2 Å³ per cell

Structure (POSCAR):
```
SrIn12Ir6
1.0
7.897 -0.093 -0.131
-2.048 7.627 -0.131
-2.048 -2.638 7.158
In Ir Sr
12 6 1
Direct
0.500 0.878 0.122 In
0.878 0.122 0.500 In
0.416 0.416 0.150 In
0.584 0.584 0.850 In
0.878 0.500 0.122 In
0.500 0.122 0.878 In
0.150 0.416 0.416 In
0.584 0.850 0.584 In
0.122 0.878 0.500 In
0.850 0.584 0.584 In
0.122 0.500 0.878 In
0.416 0.150 0.416 In
0.734 0.734 0.316 Ir
0.316 0.734 0.734 Ir
0.684 0.266 0.266 Ir
0.266 0.266 0.684 Ir
0.266 0.684 0.266 Ir
0.734 0.316 0.734 Ir
0.000 0.000 0.000 Sr
```

=====

Computed, not measured: a relaxed NiAu4Cl crystal at the GGA-PBE level of DFT.

Computed properties:
Calculated volume: 119.0 Å³ per cell
Formation energy from raw total energies: 0.4313 eV per atom

Structure (POSCAR):
```
NiAu4Cl
1.0
-4.156 -3.555 0.756
-5.053 1.875 1.201
-4.041 -0.360 -3.745
Au Ni Cl
4 1 1
Direct
0.375 0.375 0.876 Au
0.375 0.876 0.375 Au
0.375 0.375 0.375 Au
0.876 0.375 0.375 Au
0.000 0.000 0.000 Ni
0.750 0.750 0.750 Cl
```

=====

Computed, not measured: a relaxed Ni2RhAu crystal at the GGA-PBE level of DFT.

Computed properties:
ΔE_f: 0.138 eV per atom
Calculated volume: 54.8 Å³ per cell

Structure (POSCAR):
```
Ni2RhAu
1.0
-2.815 -3.619 1.038
2.452 -3.613 1.741
-0.147 4.576 1.066
Rh Ni Au
1 2 1
Direct
0.500 0.500 0.000 Rh
0.250 0.750 0.500 Ni
0.000 0.000 0.000 Ni
0.750 0.250 0.500 Au
```

=====

Computed, not measured: a relaxed Li2TlCr crystal at the GGA-PBE level of DFT.

Computed properties:
ΔE_f: 0.165 eV per atom
Calculated volume: 72.2 Å³ per cell

Structure (POSCAR):
```
Li2TlCr
1.0
-0.291 -0.279 -5.047
-2.570 -2.959 -3.206
-3.614 1.810 -1.838
Cr Tl Li
1 1 2
Direct
0.255 0.255 0.244 Cr
0.495 0.495 0.505 Tl
0.743 0.743 0.757 Li
0.006 0.006 0.993 Li
```

=====

Computed, not measured: a relaxed Sc2Zn2Ag crystal at the GGA-PBE level of DFT.

Computed properties:
ΔE_f: 0.011 eV per atom
Calculated volume: 198.2 Å³ per cell

Structure (POSCAR):
```
Sc2Zn2Ag
1.0
-6.871 -3.145 -2.979
-1.561 -3.413 7.204
-1.495 2.465 0.844
Sc Zn Ag
4 4 2
Direct
0.321 0.821 0.000 Sc
0.821 0.679 0.000 Sc
0.679 0.179 0.000 Sc
0.179 0.321 0.000 Sc
0.116 0.616 0.500 Zn
0.616 0.884 0.500 Zn
0.384 0.116 0.500 Zn
0.884 0.384 0.500 Zn
0.500 0.500 0.000 Ag
0.000 0.000 0.000 Ag
```

=====

Computed, not measured: a relaxed LaMn2Cd crystal at the GGA-PBE level of DFT.

Computed properties:
ΔE_f: 0.525 eV per atom
Calculated volume: 86.7 Å³ per cell

Structure (POSCAR):
```
LaMn2Cd
1.0
-8.824 -3.823 2.438
-7.244 -4.388 5.168
-8.617 -1.535 4.672
La Cd Mn
1 1 2
Direct
0.750 0.750 0.750 La
0.250 0.250 0.250 Cd
0.994 0.994 0.994 Mn
0.506 0.506 0.506 Mn
```